1.
Material: Al2PbIF
Method: DFT, meta-GGA SCAN
State: single point on PBEsol structure

Computed properties:
The value obtained for the uncorrected formation energy is 303.4 meV/atom.

a = 4.441 Å, b = 5.485 Å, c = 5.485 Å
α = 90.00°, β = 90.00°, γ = 90.00°
Sites, in units of the cell vectors:
Al  0.000  0.500  0.000
Al  0.000  0.000  0.500
I  0.000  0.000  0.000
F  0.500  0.000  0.000
Pb  0.500  0.500  0.500

---

2.
Material: RbTi2P
Method: DFT, meta-GGA SCAN
State: single point on PBEsol structure

Computed properties:
The calculated formation energy comes out at 427.7 meV per atom.

a = 4.835 Å, b = 4.835 Å, c = 9.487 Å
α = 104.76°, β = 104.76°, γ = 90.00°
Sites, in units of the cell vectors:
Rb  0.250  0.750  0.500
Rb  0.000  0.000  0.000
Ti  0.125  0.375  0.750
Ti  0.625  0.375  0.250
Ti  0.625  0.875  0.250
Ti  0.625  0.375  0.750
P  0.750  0.250  0.500
P  0.500  0.500  0.000

---

3.
Material: YCu4
Method: DFT, meta-GGA SCAN
State: single point on PBEsol structure

Computed properties:
The calculated formation energy comes out at -134.9 meV per atom.

a = 7.324 Å, b = 7.324 Å, c = 7.324 Å
α = 109.47°, β = 109.47°, γ = 109.47°
Sites, in units of the cell vectors:
Cu  0.250  0.500  0.750
Cu  0.000  0.000  0.204
Cu  0.000  0.644  0.644
Cu  0.796  0.796  0.796
Cu  0.356  0.356  0.000
Cu  0.750  0.250  0.500
Cu  0.000  0.204  0.000
Cu  0.750  0.500  0.250
Cu  0.356  0.000  0.356
Cu  0.000  0.356  0.356
Cu  0.644  0.644  0.000
Cu  0.644  0.000  0.644
Cu  0.250  0.750  0.500
Cu  0.500  0.250  0.750
Cu  0.204  0.000  0.000
Cu  0.500  0.750  0.250
Y  0.430  0.430  0.430
Y  0.000  0.000  0.570
Y  0.570  0.000  0.000
Y  0.000  0.570  0.000

---

4.
Material: LiAs2HBr
Method: DFT, meta-GGA SCAN
State: single point on PBEsol structure

a = 3.771 Å, b = 3.771 Å, c = 7.364 Å
α = 90.00°, β = 90.00°, γ = 90.00°
Sites, in units of the cell vectors:
Li  0.500  0.500  0.500
As  0.500  0.000  0.000
As  0.000  0.500  0.000
H  0.000  0.000  0.000
Br  0.000  0.000  0.500

---

5.
Material: BaBi2B4O10
Method: DFT, meta-GGA SCAN
State: single point on PBEsol structure

Computed properties:
The value obtained for the uncorrected formation energy is -2367.8 meV/atom.

a = 6.382 Å, b = 10.202 Å, c = 12.302 Å
α = 103.49°, β = 90.00°, γ = 90.00°
Sites, in units of the cell vectors:
O  0.167  0.128  0.404
O  0.871  0.444  0.910
O  0.437  0.685  0.106
O  0.005  0.866  0.768
O  0.129  0.556  0.090
O  0.833  0.872  0.596
O  0.733  0.089  0.576
O  0.063  0.685  0.606
O  0.919  0.945  0.362
O  0.081  0.055  0.638
O  0.284  0.709  0.773
O  0.223  0.289  0.803
O  0.937  0.315  0.394
O  0.995  0.727  0.905
O  0.784  0.291  0.727
O  0.767  0.089  0.076
O  0.267  0.911  0.424
O  0.086  0.503  0.706
O  0.216  0.709  0.273
O  0.777  0.711  0.197
O  0.495  0.273  0.595
O  0.995  0.134  0.232
O  0.505  0.727  0.405
O  0.586  0.497  0.794
O  0.581  0.945  0.862
O  0.716  0.291  0.227
O  0.333  0.128  0.904
O  0.495  0.866  0.268
O  0.629  0.444  0.410
O  0.505  0.134  0.732
O  0.005  0.273  0.095
O  0.723  0.711  0.697
O  0.419  0.055  0.138
O  0.277  0.289  0.303
O  0.233  0.911  0.924
O  0.371  0.556  0.590
O  0.667  0.872  0.096
O  0.914  0.497  0.294
O  0.563  0.315  0.894
O  0.414  0.503  0.206
B  0.912  0.782  0.668
B  0.374  0.802  0.341
B  0.889  0.006  0.603
B  0.800  0.391  0.333
B  0.200  0.609  0.667
B  0.088  0.218  0.332
B  0.874  0.198  0.159
B  0.611  0.006  0.103
B  0.111  0.994  0.397
B  0.626  0.198  0.659
B  0.700  0.391  0.833
B  0.126  0.802  0.841
B  0.588  0.782  0.168
B  0.300  0.609  0.167
B  0.412  0.218  0.832
B  0.389  0.994  0.897
Bi  0.319  0.520  0.385
Bi  0.146  0.273  0.627
Bi  0.181  0.520  0.885
Bi  0.854  0.727  0.373
Bi  0.354  0.273  0.127
Bi  0.646  0.727  0.873
Bi  0.819  0.480  0.115
Bi  0.681  0.480  0.615
Ba  0.595  0.128  0.375
Ba  0.095  0.872  0.125
Ba  0.405  0.872  0.625
Ba  0.905  0.128  0.875

---

6.
Material: BeTeOs2
Method: DFT, meta-GGA SCAN
State: single point on PBEsol structure

Computed properties:
The value obtained for the uncorrected formation energy is 370.1 meV/atom. The energy above the most stable polymorph in this dataset is 0 meV per atom.

a = 4.303 Å, b = 4.303 Å, c = 4.303 Å
α = 60.00°, β = 60.00°, γ = 60.00°
Sites, in units of the cell vectors:
Be  0.500  0.500  0.500
Os  0.250  0.250  0.250
Os  0.750  0.750  0.750
Te  0.000  0.000  0.000

---

7.
Material: LiYPt2
Method: DFT, meta-GGA SCAN
State: single point on PBEsol structure

Computed properties:
The calculated formation energy comes out at -1043.9 meV per atom.

a = 4.262 Å, b = 4.809 Å, c = 4.262 Å
α = 63.70°, β = 90.00°, γ = 116.30°
Sites, in units of the cell vectors:
Y  0.000  0.000  0.000
Li  0.500  0.000  0.500
Pt  0.750  0.500  0.750
Pt  0.250  0.500  0.250

---

8.
Material: AsRh3Cl
Method: DFT, meta-GGA SCAN
State: single point on PBEsol structure

Computed properties:
The value obtained for the uncorrected formation energy is 825.6 meV/atom.

a = 4.350 Å, b = 4.350 Å, c = 4.350 Å
α = 90.00°, β = 90.00°, γ = 90.00°
Last column: magnetic moment on the atom in μB.
Sites, in units of the cell vectors:
Rh  0.000  0.000  0.500  0.24
Rh  0.000  0.500  0.000  0.24
Rh  0.500  0.000  0.000  0.24
As  0.500  0.500  0.500  0.02
Cl  0.000  0.000  0.000  0.01

---

Let's list volume in order: 26.722 25.862 15.122 20.948 11.455 14.088 17.017 16.457 Å³/atom.
Let's list calculated total energy in order: -26.01 -15.37 -17.86 -13.23 -19.35 -45.97 -43.70 -25.07 eV per atom.
Let's list spin magnetization in order: 0.00 0.00 0.00 0.00 0.00 0.00 0.00 0.74 μB per formula unit.